No. 1
# K2MgPt

An optimized crystal structure of K2MgPt (PBE-GGA, the Alexandria database).

## Properties
Total energy = -2.6180 eV/atom
E_form = -0.1604 eV/atom
M_tot = 0.00 μB per atom

Cell lengths 3.6235, 3.9376, 10.1853 Å; angles 78.96, 90.00, 90.00 degrees
Element x y z (fractional)
Pt 0.5000 0.9929 0.6400
K 0.5000 0.1466 0.3251
Mg 0.0000 0.5048 0.6163
K 0.0000 0.8557 0.9185

---

No. 2
# K2MgPt

An optimized crystal structure of K2MgPt (PBE-GGA, the Alexandria database).

## Properties
Total energy = -2.2859 eV/atom
E_form = 0.1717 eV/atom
M_tot = 0.00 μB per atom

Cell lengths 4.5652, 4.5652, 5.2630 Å; angles 90.00, 90.00, 90.00 degrees
Element x y z (fractional)
Mg 0.5000 0.0000 0.5000
K 0.5000 0.5000 0.0000
K 0.0000 0.0000 0.0000
Pt 0.0000 0.5000 0.5000

---

No. 3
# KMgPt3

An optimized crystal structure of KMgPt3 (PBE-GGA, the Alexandria database).

## Properties
Total energy = -2.5163 eV/atom
Relative energy among the computed polymorphs = 1184 meV per atom
E_form = 1.6466 eV/atom
M_tot = 0.00 μB per atom

Cell lengths 4.9823, 4.9823, 4.9823 Å; angles 90.00, 90.00, 90.00 degrees
Element x y z (fractional)
Pt 0.0000 0.5000 0.0000
Pt 0.5000 0.0000 0.0000
Pt 0.0000 0.0000 0.5000
K 0.0000 0.0000 0.0000
Mg 0.5000 0.5000 0.5000

---

No. 4
# KMgPt2

An optimized crystal structure of KMgPt2 (PBE-GGA, the Alexandria database).

## Properties
Total energy = -4.0401 eV/atom
E_form = -0.3467 eV/atom
M_tot = 0.00 μB per atom

Cell lengths 2.9805, 2.9781, 9.1657 Å; angles 70.92, 90.00, 90.00 degrees
Element x y z (fractional)
K 0.5000 0.2500 0.2500
Pt 0.0000 0.4519 0.5493
Mg 0.5000 0.7500 0.7500
Pt 0.0000 0.0481 0.9507

---

No. 5
# KMgPt2

An optimized crystal structure of KMgPt2 (PBE-GGA, the Alexandria database).

## Properties
Total energy = -3.6804 eV/atom
E_form = 0.0130 eV/atom
M_tot = 0.00 μB per atom

Cell lengths 5.1207, 5.1207, 5.1207 Å; angles 130.05, 129.77, 73.55 degrees
Element x y z (fractional)
Mg 0.2500 0.7500 0.5000
Pt 0.0005 0.0005 0.0000
Pt 0.4995 0.4995 0.0000
K 0.7500 0.2500 0.5000

---

No. 6
# K2MgPt

An optimized crystal structure of K2MgPt (PBE-GGA, the Alexandria database).

## Properties
Total energy = -2.1337 eV/atom
E_form = 0.3239 eV/atom
M_tot = 0.00 μB per atom

Cell lengths 4.3785, 4.3785, 12.1274 Å; angles 79.60, 79.60, 90.00 degrees
Element x y z (fractional)
K 0.6416 0.1250 0.2500
Pt 0.0000 0.0000 0.0000
Mg 0.2500 0.7500 0.5000
Pt 0.7500 0.2500 0.5000
K 0.8750 0.8916 0.7500
Mg 0.5000 0.5000 0.0000
K 0.3750 0.3584 0.7500
K 0.1084 0.6250 0.2500

---

No. 7
# KMgPt2

An optimized crystal structure of KMgPt2 (PBE-GGA, the Alexandria database).

## Properties
Total energy = -3.8335 eV/atom
E_form = -0.1401 eV/atom
M_tot = 0.00 μB per atom

Cell lengths 4.4620, 2.9480, 6.8099 Å; angles 85.01, 90.00, 90.00 degrees
Element x y z (fractional)
Mg 0.5000 0.6738 0.8763
Pt 0.0000 0.1496 0.9551
K 0.0000 0.5625 0.4678
Pt 0.5000 0.1141 0.2009

---

No. 8
# KMgPt

An optimized crystal structure of KMgPt (PBE-GGA, the Alexandria database).

## Properties
Total energy = -2.8574 eV/atom
Relative energy among the computed polymorphs = 408 meV per atom
E_form = 0.0536 eV/atom
M_tot = 0.00 μB per atom

Cell lengths 4.8951, 4.8951, 4.8951 Å; angles 60.00, 60.00, 60.00 degrees
Element x y z (fractional)
K 0.0000 0.0000 0.0000
Mg 0.5000 0.5000 0.5000
Pt 0.7500 0.7500 0.7500

---

No. 9
# KMgPt2

An optimized crystal structure of KMgPt2 (PBE-GGA, the Alexandria database).

## Properties
Total energy = -3.8822 eV/atom
E_form = -0.1888 eV/atom
M_tot = 0.00 μB per atom

Cell lengths 5.4903, 5.4903, 6.2863 Å; angles 79.28, 79.28, 30.46 degrees
Element x y z (fractional)
Mg 0.6968 0.6968 0.9169
K 0.5196 0.5196 0.4558
Pt 0.9847 0.9847 0.9384
Pt 0.2988 0.2988 0.1888

---

No. 10
# K2MgPt

An optimized crystal structure of K2MgPt (PBE-GGA, the Alexandria database).

## Properties
Total energy = -2.5199 eV/atom
E_form = -0.0624 eV/atom
M_tot = 0.00 μB per atom

Cell lengths 6.3111, 6.3111, 6.3111 Å; angles 139.42, 125.73, 69.91 degrees
Element x y z (fractional)
K 0.0340 0.0340 0.0000
Pt 0.3048 0.8048 0.5000
Mg 0.4308 0.4308 0.0000
K 0.7304 0.2304 0.5000

---

No. 11
# K3MgPt

An optimized crystal structure of K3MgPt (PBE-GGA, the Alexandria database).

## Properties
Total energy = -1.9539 eV/atom
Relative energy among the computed polymorphs = 0 meV per atom
E_form = 0.2317 eV/atom
M_tot = 0.19 μB per atom

Cell lengths 6.2385, 6.2385, 6.2385 Å; angles 90.00, 90.00, 90.00 degrees
Element x y z (fractional)
K 0.5000 0.0000 0.0000
Mg 0.5000 0.5000 0.5000
Pt 0.0000 0.0000 0.0000
K 0.0000 0.5000 0.0000
K 0.0000 0.0000 0.5000

---

No. 12
# K2MgPt2

An optimized crystal structure of K2MgPt2 (PBE-GGA, the Alexandria database).

## Properties
Total energy = -3.3289 eV/atom
Relative energy among the computed polymorphs = 0 meV per atom
E_form = -0.1546 eV/atom
M_tot = 0.00 μB per atom

Cell lengths 6.8467, 6.8467, 5.3971 Å; angles 90.00, 90.00, 90.00 degrees
Element x y z (fractional)
Pt 0.6336 0.1336 0.0000
Pt 0.3664 0.8664 0.0000
Mg 0.0000 0.0000 0.0000
Pt 0.1336 0.3664 0.0000
K 0.1702 0.6702 0.5000
Mg 0.5000 0.5000 0.0000
K 0.8298 0.3298 0.5000
K 0.6702 0.8298 0.5000
Pt 0.8664 0.6336 0.0000
K 0.3298 0.1702 0.5000

---

No. 13
# K2MgPt

An optimized crystal structure of K2MgPt (PBE-GGA, the Alexandria database).

## Properties
Total energy = -2.2784 eV/atom
E_form = 0.1792 eV/atom
M_tot = 0.00 μB per atom

Cell lengths 6.1793, 6.1793, 6.1793 Å; angles 136.77, 136.34, 63.12 degrees
Element x y z (fractional)
Pt 0.2500 0.7500 0.5000
K 0.0017 0.0017 0.0000
K 0.4983 0.4983 0.0000
Mg 0.7500 0.2500 0.5000

---

No. 14
# KMgPt2

An optimized crystal structure of KMgPt2 (PBE-GGA, the Alexandria database).

## Properties
Total energy = -3.8653 eV/atom
E_form = -0.1719 eV/atom
M_tot = 0.00 μB per atom

Cell lengths 9.7830, 9.7830, 9.7830 Å; angles 17.65, 17.65, 17.65 degrees
Element x y z (fractional)
Mg 0.7500 0.7500 0.7500
K 0.2500 0.2500 0.2500
Pt 0.0120 0.0120 0.0120
Pt 0.4880 0.4880 0.4880

---

No. 15
# K2MgPt

An optimized crystal structure of K2MgPt (PBE-GGA, the Alexandria database).

## Properties
Total energy = -2.2314 eV/atom
E_form = 0.2262 eV/atom
M_tot = 0.00 μB per atom

Cell lengths 4.3135, 3.1205, 10.1664 Å; angles 71.91, 90.00, 90.00 degrees
Element x y z (fractional)
K 0.0000 0.4393 0.5610
K 0.0000 0.0607 0.9390
Pt 0.5000 0.7500 0.7500
Mg 0.5000 0.2500 0.2500

---

No. 16
# K2MgPt2

An optimized crystal structure of K2MgPt2 (PBE-GGA, the Alexandria database).

## Properties
Total energy = -2.8342 eV/atom
Relative energy among the computed polymorphs = 495 meV per atom
E_form = 0.3400 eV/atom
M_tot = 0.00 μB per atom

Cell lengths 4.1134, 4.1134, 7.9216 Å; angles 74.95, 74.95, 90.00 degrees
Element x y z (fractional)
Mg 0.0000 0.0000 0.0000
Pt 0.5876 0.5876 0.8247
Pt 0.4124 0.4124 0.1753
K 0.7500 0.2500 0.5000
K 0.2500 0.7500 0.5000

---

No. 17
# KMgPt

An optimized crystal structure of KMgPt (PBE-GGA, the Alexandria database).

## Properties
Total energy = -3.2655 eV/atom
Relative energy among the computed polymorphs = 0 meV per atom
E_form = -0.3546 eV/atom
M_tot = 0.00 μB per atom

Cell lengths 4.5635, 4.5635, 7.7116 Å; angles 90.00, 90.00, 90.00 degrees
Element x y z (fractional)
K 0.0000 0.5000 0.8602
Pt 0.0000 0.5000 0.3212
K 0.5000 0.0000 0.1398
Pt 0.5000 0.0000 0.6788
Mg 0.5000 0.5000 0.5000
Mg 0.0000 0.0000 0.5000

---

No. 18
# K2MgPt

An optimized crystal structure of K2MgPt (PBE-GGA, the Alexandria database).

## Properties
Total energy = -2.6383 eV/atom
E_form = -0.1807 eV/atom
M_tot = 0.00 μB per atom

Cell lengths 10.2319, 10.2319, 4.2530 Å; angles 78.28, 78.28, 18.43 degrees
Element x y z (fractional)
K 0.6003 0.6003 0.3962
Mg 0.7500 0.7500 0.7500
Pt 0.2500 0.2500 0.2500
K 0.8997 0.8997 0.1038

---

No. 19
# KMgPt3

An optimized crystal structure of KMgPt3 (PBE-GGA, the Alexandria database).

## Properties
Total energy = -3.7007 eV/atom
Relative energy among the computed polymorphs = 0 meV per atom
E_form = 0.4622 eV/atom
M_tot = 0.00 μB per atom

Cell lengths 4.8313, 4.8313, 4.8313 Å; angles 90.00, 90.00, 90.00 degrees
Element x y z (fractional)
Pt 0.0000 0.0000 0.5000
Pt 0.5000 0.0000 0.0000
Mg 0.0000 0.0000 0.0000
Pt 0.0000 0.5000 0.0000
K 0.5000 0.5000 0.5000

---

No. 20
# K2MgPt

An optimized crystal structure of K2MgPt (PBE-GGA, the Alexandria database).

## Properties
Total energy = -2.1220 eV/atom
E_form = 0.3356 eV/atom
M_tot = 0.00 μB per atom

Cell lengths 11.9541, 11.9541, 11.9541 Å; angles 15.89, 15.89, 15.89 degrees
Element x y z (fractional)
Pt 0.7500 0.7500 0.7500
K 0.4885 0.4885 0.4885
K 0.0115 0.0115 0.0115
Mg 0.2500 0.2500 0.2500